Here is an optimized crystal structure of LiPuBi from Alexandria via LeMat-Bulk. Energies are from PBE.

Summary:
The energy relative to the elements is -0.23 eV/atom.

Structure (extended XYZ):
```
3
Lattice="0.0000 3.3893 3.3893 3.3893 0.0000 3.3893 3.3893 3.3893 0.0000" Properties=species:S:1:pos:R:3 pbc="T T T"
Li 0.0000 0.0000 0.0000
Pu 5.0840 5.0840 5.0840
Bi 1.6947 1.6947 1.6947
```

***

Here is an optimized crystal structure of Si2TcMoP from Alexandria via LeMat-Bulk. Energies are from PBE.

Summary:
For the uncorrected formation energy, the calculation gives 1.0279 eV/atom.

Structure (extended XYZ):
```
5
Lattice="4.6640 0.0000 0.0000 0.0000 4.6640 0.0000 0.0000 0.0000 4.5272" Properties=species:S:1:pos:R:3 pbc="T T T"
Si 0.0000 2.3320 0.0000
Si 2.3320 0.0000 0.0000
Tc 0.0000 0.0000 0.0000
Mo 2.3320 2.3320 2.2636
P 0.0000 0.0000 2.2636
```

***

Here is an optimized crystal structure of TbThPbAu from Alexandria via LeMat-Bulk. Energies are from PBE.

Summary:
The energy relative to the elements is -0.45 eV/atom.

Structure (extended XYZ):
```
4
Lattice="0.0000 3.7889 3.7889 3.7889 0.0000 3.7889 3.7889 3.7889 0.0000" Properties=species:S:1:pos:R:3 pbc="T T T"
Tb 0.0000 0.0000 0.0000
Th 3.7889 3.7889 3.7889
Pb 1.8944 1.8944 1.8944
Au 5.6833 5.6833 5.6833
```

***

Here is an optimized crystal structure of LaPmSn from Alexandria via LeMat-Bulk. Energies are from PBE.

Summary:
The energy relative to the elements is -0.52 eV/atom.

Structure (extended XYZ):
```
3
Lattice="-2.1210 2.1210 5.0326 2.1210 -2.1210 5.0326 2.1210 2.1210 -5.0326" Properties=species:S:1:pos:R:3 pbc="T T T"
La 0.0000 0.0000 0.0000
Pm 0.0000 0.0000 6.9831
Sn 0.0000 0.0000 3.4467
```

***

Here is an optimized crystal structure of K2MgCo from Alexandria via LeMat-Bulk. Energies are from PBE.

Summary:
The energy relative to the elements is 0.66 eV/atom.

Structure (extended XYZ):
```
4
Lattice="-1.8303 3.0387 6.2543 1.8303 -3.0387 6.2543 1.8303 3.0387 -6.2543" Properties=species:S:1:pos:R:3 pbc="T T T"
K 0.0000 0.0000 0.0000
K 0.0000 3.0387 2.4403
Mg 1.8303 0.0000 3.8572
Co 0.0000 0.0000 5.6791
```

***

Here is an optimized crystal structure of LiMoN3 from Alexandria via LeMat-Bulk. Energies are from PBE.

Summary:
For the uncorrected formation energy, the calculation gives 0.3841 eV/atom.

Structure (extended XYZ):
```
5
Lattice="3.9432 0.0000 0.0000 0.0000 3.9432 0.0000 0.0000 0.0000 3.9432" Properties=species:S:1:pos:R:3 pbc="T T T"
Li 0.0000 0.0000 0.0000
Mo 1.9716 1.9716 1.9716
N 0.0000 1.9716 1.9716
N 1.9716 0.0000 1.9716
N 1.9716 1.9716 0.0000
```

***

| no. | electronic total energy (eV for the cell shown) |
| --- | --- |
| 1 | -20.81 |
| 2 | -32.31 |
| 3 | -20.83 |
| 4 | -15.25 |
| 5 | -8.25 |
| 6 | -35.80 |